A relaxed structure of Li2CaMg. Source: the Alexandria database, functional GGA-PBEsol.

a b c (Å): 3.6274 3.6274 7.5996
angles (deg): 90.00 90.00 90.00
Closest atoms and distances in Å follow each position.
Atoms (fractional coordinates):
Li 0.0000 0.0000 0.0000  4 Li 2.96, 1 Mg 3.07
Li 0.5000 0.5000 0.1955  4 Li 2.96, 4 Mg 3.01
Ca 0.5000 0.5000 0.7022  5 Li 3.42-3.75, 4 Mg 3.42, 4 Ca 3.63
Mg 0.0000 0.0000 0.4037  5 Li 3.01-3.07

Summary:
Mass density: 1.300 g cm⁻³
Formation energy: -0.6 kcal/mol of atoms

A relaxed structure of Mo3Ru5. Source: the Alexandria database, functional GGA-PBEsol.

a b c (Å): 5.4218 5.4218 3.8258
angles (deg): 90.00 90.00 90.47
Closest atoms and distances in Å follow each position.
Atoms (fractional coordinates):
Mo 0.0000 0.0000 0.0000  8 Ru 2.71, 4 Mo 2.75
Mo 0.2574 0.7426 0.5000  10 Ru 2.66-2.76, 2 Mo 2.75
Mo 0.7426 0.2574 0.5000  10 Ru 2.66-2.76, 2 Mo 2.75
Ru 0.0000 0.5000 0.0000  6 Mo 2.70-2.71, 6 Ru 2.71
Ru 0.2516 0.2516 0.5000  6 Mo 2.66-2.76, 6 Ru 2.69-2.71
Ru 0.5000 0.0000 0.0000  6 Mo 2.70-2.71, 6 Ru 2.71
Ru 0.5000 0.5000 0.0000  4 Mo 2.67, 8 Ru 2.69-2.71
Ru 0.7484 0.7484 0.5000  6 Mo 2.66-2.76, 6 Ru 2.69-2.71

Summary:
Mass density: 11.712 g cm⁻³
Formation energy: 1.2 kcal/mol of atoms

A relaxed structure of CdAg2Au. Source: the Alexandria database, functional GGA-PBEsol.

a b c (Å): 5.0044 5.0044 4.9787
angles (deg): 100.52 100.52 34.41
Closest atoms and distances in Å follow each position.
Atoms (fractional coordinates):
Cd 0.0000 0.0000 0.0000  3 Au 2.88-2.89, 7 Ag 2.89-2.91, 2 Cd 2.96
Ag 0.5019 0.5019 0.4995  5 Ag 2.87-2.96, 3 Au 2.88-2.92, 4 Cd 2.89-2.90
Ag 0.7521 0.7521 0.2583  5 Ag 2.87-2.96, 4 Au 2.88-2.92, 3 Cd 2.90-2.91
Au 0.2502 0.2502 0.7528  7 Ag 2.88-2.92, 3 Cd 2.88-2.89, 2 Au 2.96

Summary:
Mass density: 12.608 g cm⁻³
Formation energy: -2.0 kcal/mol of atoms

Copy entry 2 word for word.
A relaxed structure of Mo3Ru5. Source: the Alexandria database, functional GGA-PBEsol.

a b c (Å): 5.4218 5.4218 3.8258
angles (deg): 90.00 90.00 90.47
Closest atoms and distances in Å follow each position.
Atoms (fractional coordinates):
Mo 0.0000 0.0000 0.0000  8 Ru 2.71, 4 Mo 2.75
Mo 0.2574 0.7426 0.5000  10 Ru 2.66-2.76, 2 Mo 2.75
Mo 0.7426 0.2574 0.5000  10 Ru 2.66-2.76, 2 Mo 2.75
Ru 0.0000 0.5000 0.0000  6 Mo 2.70-2.71, 6 Ru 2.71
Ru 0.2516 0.2516 0.5000  6 Mo 2.66-2.76, 6 Ru 2.69-2.71
Ru 0.5000 0.0000 0.0000  6 Mo 2.70-2.71, 6 Ru 2.71
Ru 0.5000 0.5000 0.0000  4 Mo 2.67, 8 Ru 2.69-2.71
Ru 0.7484 0.7484 0.5000  6 Mo 2.66-2.76, 6 Ru 2.69-2.71

Summary:
Mass density: 11.712 g cm⁻³
Formation energy: 1.2 kcal/mol of atoms

- Look up the formation energy of the third one.
  -2.0 kcal/mol of atoms